(1)
Computed, not measured: a relaxed structure of TcRhBr at the PBEsol level of DFT.

calculated volume = 15.968 Å³ per atom
D(E_F) = 2.88 states/eV/f.u.
relative energy among the computed polymorphs = 7.46 kcal/mol of atoms
spin magnetization = 0.00 μB/cell
formation energy without anion corrections = 1.0131 eV/atom

Lattice parameters (Å, degrees): 5.765 5.765 5.765 90.00 90.00 90.00
Space group F-43m (No. 216)
Inequivalent atoms, fractional coordinates:
Tc: 0.000 0.000 0.000 x4
Rh: 0.000 0.000 0.500 x4
Br: 0.250 0.250 0.750 x4

***

(2)
Computed, not measured: a relaxed structure of TcRhBr at the PBEsol level of DFT.

calculated volume = 15.167 Å³ per atom
D(E_F) = 2.84 states/eV/f.u.
relative energy among the computed polymorphs = 0.00 kcal/mol of atoms
spin magnetization = 0.00 μB/cell
formation energy without anion corrections = 0.6895 eV/atom

Lattice parameters (Å, degrees): 4.1056 4.1056 3.1170 90.00 90.00 120.00
Space group P3m1 (No. 156)
Inequivalent atoms, fractional coordinates:
Tc: 0.0000 0.0000 0.0000 x1
Rh: 0.3333 0.6667 0.5339 x1
Br: 0.6667 0.3333 0.1767 x1

***

(3)
Computed, not measured: a relaxed structure of TeRhBr at the PBEsol level of DFT.

calculated volume = 22.240 Å³ per atom
D(E_F) = 1.59 states/eV/f.u.
spin magnetization = 0.00 μB/cell
formation energy without anion corrections = 0.0988 eV/atom

Lattice parameters (Å, degrees): 6.438 6.438 6.438 90.00 90.00 90.00
Space group F-43m (No. 216)
Inequivalent atoms, fractional coordinates:
Te: 0.000 0.000 0.000 x4
Rh: 0.250 0.250 0.750 x4
Br: 0.000 0.000 0.500 x4

***

(4)
Computed, not measured: a relaxed structure of Te2RhBr2 at the PBEsol level of DFT.

calculated volume = 26.189 Å³ per atom
D(E_F) = 2.87 states/eV/f.u.
spin magnetization = 0.00 μB/cell
formation energy without anion corrections = 0.2785 eV/atom

Lattice parameters (Å, degrees): 3.769 3.769 18.436 90.00 90.00 90.00
Space group I4/mmm (No. 139)
Inequivalent atoms, fractional coordinates:
Te: 0.000 0.000 0.072 x4
Rh: 0.000 0.000 0.500 x2
Br: 0.000 0.500 0.250 x4

***

(5)
Computed, not measured: a relaxed structure of TeRhBr at the PBEsol level of DFT.

calculated volume = 21.544 Å³ per atom
D(E_F) = 0.69 states/eV/f.u.
spin magnetization = 0.00 μB/cell
formation energy without anion corrections = -0.0585 eV/atom

Lattice parameters (Å, degrees): 3.252 3.252 12.222 90.00 90.00 90.00
Space group I4mm (No. 107)
Inequivalent atoms, fractional coordinates:
Te: 0.000 0.000 0.000 x2
Rh: 0.000 0.000 0.386 x2
Br: 0.000 0.000 0.738 x2

***

(6)
Computed, not measured: a relaxed structure of TeRhBr at the PBEsol level of DFT.

calculated volume = 24.676 Å³ per atom
spin magnetization = 0.00 μB/cell
formation energy without anion corrections = -0.4077 eV/atom

Lattice parameters (Å, degrees): 3.7388 3.7388 6.1150 90.00 90.00 120.00
Space group P3m1 (No. 156)
Inequivalent atoms, fractional coordinates:
Te: 0.0000 0.0000 0.0000 x1
Rh: 0.3333 0.6667 0.2256 x1
Br: 0.6667 0.3333 0.4713 x1

***

(7)
Computed, not measured: a relaxed structure of Ti2RhBr at the PBEsol level of DFT.

calculated volume = 15.611 Å³ per atom
D(E_F) = 4.68 states/eV/f.u.
spin magnetization = 0.00 μB/cell
formation energy without anion corrections = -0.1212 eV/atom

Lattice parameters (Å, degrees): 6.298 6.298 6.298 90.00 90.00 90.00
Space group Fm-3m (No. 225)
Inequivalent atoms, fractional coordinates:
Ti: 0.250 0.250 0.250 x8
Rh: 0.000 0.000 0.000 x4
Br: 0.000 0.000 0.500 x4

***

(8)
Computed, not measured: a relaxed structure of RhW2Br at the PBEsol level of DFT.

calculated volume = 15.591 Å³ per atom
D(E_F) = 3.61 states/eV/f.u.
relative energy among the computed polymorphs = 0.00 kcal/mol of atoms
spin magnetization = 0.00 μB/cell
formation energy without anion corrections = 0.5366 eV/atom

Lattice parameters (Å, degrees): 2.8823 2.8823 26.0039 90.00 90.00 120.00
Space group R-3m (No. 166, hexagonal axes)
Inequivalent atoms, fractional coordinates:
Rh: 0.0000 0.0000 0.0000 x3
W: 0.0000 0.0000 0.2513 x6
Br: 0.0000 0.0000 0.5000 x3

***

Question: Look up the calculated volume of the eighth one.
Answer: 15.591 Å³ per atom

***

Please write out number 7 again, unchanged.
Computed, not measured: a relaxed structure of Ti2RhBr at the PBEsol level of DFT.

calculated volume = 15.611 Å³ per atom
D(E_F) = 4.68 states/eV/f.u.
spin magnetization = 0.00 μB/cell
formation energy without anion corrections = -0.1212 eV/atom

Lattice parameters (Å, degrees): 6.298 6.298 6.298 90.00 90.00 90.00
Space group Fm-3m (No. 225)
Inequivalent atoms, fractional coordinates:
Ti: 0.250 0.250 0.250 x8
Rh: 0.000 0.000 0.000 x4
Br: 0.000 0.000 0.500 x4